[1]
Mg2MnHIr | PBE | relaxed

Properties
E_tot in eV/atom: -4.998
N(E_F) in states/eV per atom: 0.661

Lattice parameters (Å, degrees): 4.3364 4.3364 3.4332 90.00 90.00 90.00
Space group P4/mmm (No. 123)
Asymmetric unit:
Mg (0.0000, 0.5000, 0.0000)
Mn (0.0000, 0.0000, 0.5000)
H (0.0000, 0.0000, 0.0000)
Ir (0.5000, 0.5000, 0.5000)

***

[2]
MgMnHIr2 | PBE | relaxed

Properties
E_tot in eV/atom: -6.506
N(E_F) in states/eV per atom: 0.462

Lattice parameters (Å, degrees): 4.0450 4.0450 3.7237 90.00 90.00 90.00
Space group P4/mmm (No. 123)
Asymmetric unit:
Mg (0.0000, 0.0000, 0.0000)
Mn (0.5000, 0.5000, 0.0000)
H (0.5000, 0.5000, 0.5000)
Ir (0.0000, 0.5000, 0.5000)

***

[3]
Mg2HIrN | PBE | relaxed

Properties
E_tot in eV/atom: -4.656
N(E_F) in states/eV per atom: 0.446

Lattice parameters (Å, degrees): 4.6801 4.6801 2.7254 90.00 90.00 90.00
Space group P4/mmm (No. 123)
Asymmetric unit:
Mg (0.0000, 0.5000, 0.0000)
H (0.0000, 0.0000, 0.5000)
Ir (0.5000, 0.5000, 0.5000)
N (0.0000, 0.0000, 0.0000)

***

[4]
NaMgH4Ir | PBE | relaxed

Properties
E_tot in eV/atom: -3.969

Lattice parameters (Å, degrees): 5.3513 4.8337 6.2073 90.00 102.25 90.00
Space group P2_1/m (No. 11)
Asymmetric unit:
Na (0.1302, 0.2500, 0.3888)
Mg (0.3384, 0.7500, 0.0406)
H (0.1357, 0.7500, 0.3173)
H (0.2585, 0.0168, 0.7486)
H (0.3568, 0.2500, 0.1184)
Ir (0.1298, 0.2500, 0.8883)

***

[5]
NaMgH8Ir2 | PBE | relaxed

Properties
E_tot in eV/atom: -4.046
N(E_F) in states/eV per atom: 0.179

Lattice parameters (Å, degrees): 4.9444 4.9444 16.4837 90.00 90.00 120.00
Space group R-3 (No. 148, hexagonal axes)
Asymmetric unit:
Na (0.0000, 0.0000, 0.0000)
Mg (0.0000, 0.0000, 0.5000)
H (0.0000, 0.0000, 0.2961)
H (0.0230, 0.3871, 0.5553)
Ir (0.0000, 0.0000, 0.1979)

***

[6]
Na2MgH8Ir | PBE | relaxed

Properties
E_tot in eV/atom: -3.404
N(E_F) in states/eV per atom: 0.102

Lattice parameters (Å, degrees): 5.1793 5.1793 5.2628 90.00 90.00 120.00
Space group P-3m1 (No. 164)
Asymmetric unit:
Na (0.3333, 0.6667, 0.3572)
Mg (0.0000, 0.0000, 0.0000)
H (0.1524, 0.3048, 0.6880)
H (0.3333, 0.6667, 0.9422)
Ir (0.0000, 0.0000, 0.5000)

***

[7]
NdMgH8Ir2 | PBE | relaxed

Properties
E_tot in eV/atom: -4.422
N(E_F) in states/eV per atom: 0.242

Lattice parameters (Å, degrees): 4.8321 4.8321 16.7899 90.00 90.00 120.00
Space group R-3 (No. 148, hexagonal axes)
Asymmetric unit:
Nd (0.0000, 0.0000, 0.0000)
Mg (0.0000, 0.0000, 0.5000)
H (0.0000, 0.0000, 0.3081)
H (0.0146, 0.2964, 0.8880)
Ir (0.0000, 0.0000, 0.2082)

***

[8]
NdMgH6Ir2 | PBE | relaxed

Properties
E_tot in eV/atom: -4.832
N(E_F) in states/eV per atom: 0.302

Lattice parameters (Å, degrees): 4.6224 4.6224 15.8771 90.00 90.00 120.00
Space group R-3m (No. 166, hexagonal axes)
Asymmetric unit:
Nd (0.0000, 0.0000, 0.0000)
Mg (0.0000, 0.0000, 0.5000)
H (0.0055, 0.5027, 0.9381)
Ir (0.0000, 0.0000, 0.2078)

***

[9]
Mg2NiHIr | PBE | relaxed

Properties
Energy relative to the lowest polymorph listed for this composition in kJ/mol of formula units: 24
N(E_F) in states/eV per atom: 0.227

Lattice parameters (Å, degrees): 4.2530 4.2530 3.4956 90.00 90.00 90.00
Space group P4/mmm (No. 123)
Asymmetric unit:
Mg (0.0000, 0.5000, 0.0000)
Ni (0.0000, 0.0000, 0.5000)
H (0.5000, 0.5000, 0.0000)
Ir (0.5000, 0.5000, 0.5000)

***

[10]
Mg2NiHIr | PBE | relaxed

Properties
Energy relative to the lowest polymorph listed for this composition in kJ/mol of formula units: 0
N(E_F) in states/eV per atom: 0.413

Lattice parameters (Å, degrees): 4.3175 4.3175 3.2711 90.00 90.00 90.00
Space group P4/mmm (No. 123)
Asymmetric unit:
Mg (0.0000, 0.5000, 0.0000)
Ni (0.0000, 0.0000, 0.5000)
H (0.0000, 0.0000, 0.0000)
Ir (0.5000, 0.5000, 0.5000)

***

[11]
MgNpH6Ir2 | PBE | relaxed

Properties
E_tot in eV/atom: -5.489
N(E_F) in states/eV per atom: 1.132

Lattice parameters (Å, degrees): 4.5396 4.5396 15.5301 90.00 90.00 120.00
Space group R-3m (No. 166, hexagonal axes)
Asymmetric unit:
Mg (0.0000, 0.0000, 0.0000)
Np (0.0000, 0.0000, 0.5000)
H (0.0093, 0.5047, 0.5585)
Ir (0.0000, 0.0000, 0.2886)

***

[12]
MgNpH8Ir2 | PBE | relaxed

Properties
E_tot in eV/atom: -4.936
N(E_F) in states/eV per atom: 0.946

Lattice parameters (Å, degrees): 4.7379 4.7379 17.0350 90.00 90.00 120.00
Space group R-3 (No. 148, hexagonal axes)
Asymmetric unit:
Mg (0.0000, 0.0000, 0.0000)
Np (0.0000, 0.0000, 0.5000)
H (0.0000, 0.0000, 0.1799)
H (0.0037, 0.3042, 0.6026)
Ir (0.0000, 0.0000, 0.2754)